Entry from Alexandria via LeMat-Bulk: crystalline Na4VO4 at its relaxed geometry (PBE with a Hubbard U).

extended XYZ file:
```
18
Lattice="6.688 0.000 0.000 0.000 6.688 0.000 0.000 0.000 5.536" Properties=species:S:1:pos:R:3 pbc="T T T"
Na 0.247 1.672 0.772
Na 1.672 0.247 3.540
Na 1.672 3.097 3.540
Na 3.097 1.672 0.772
Na 3.591 5.016 4.764
Na 5.016 3.591 1.996
Na 5.016 6.441 1.996
Na 6.441 5.016 4.764
V 1.672 5.016 1.384
V 5.016 1.672 4.152
O 0.179 5.016 2.449
O 1.672 3.523 0.319
O 1.672 6.509 0.319
O 3.165 5.016 2.449
O 3.523 1.672 3.087
O 5.016 0.179 5.217
O 5.016 3.165 5.217
O 6.509 1.672 3.087
```

For the energy above the most stable polymorph in this dataset, the calculation gives 5.83 kJ/mol of atoms. The spin magnetization comes out at 1.0 μB per formula unit. The symmetry is P4_2/nmc (137).